19
Lattice="6.6811 -0.0493 -0.0590 -1.0616 6.5964 -0.0590 -1.0616 -1.2368 6.4797" Properties=species:S:1:pos:R:3 comment="VBi6O12 PBE with a Hubbard U optimized geometry" final_energy_ev_per_atom=-6.029 n_ef_per_ev_atom=0.68 pbc="T T T"
O 3.7524 6.0674 0.0441
Bi 3.3898 5.1439 2.5528
Bi 1.0602 3.5921 5.5173
O 2.4538 1.8357 5.2523
O 6.1557 1.7591 0.3840
Bi 3.4977 1.7183 0.8444
O 5.4284 -0.7838 4.5622
V 0.0000 0.0000 0.0000
O 0.8056 -0.7571 6.3176
O 0.1462 2.1512 3.6169
O 1.4425 4.6846 3.5988
O 3.1154 0.6258 2.7629
Bi -0.0126 3.5367 1.8415
O -1.5977 3.5512 5.9776
O 2.1042 3.4746 1.1094
Bi 1.1681 0.1665 3.8089
Bi 4.5705 1.7736 4.5202
O -0.8705 6.0941 1.7994
O 4.4117 3.1592 2.7447